1.
DFT (GGA-PBE) results for Cd2MoW after structural relaxation.

The value obtained for the formation energy is 0.3669 eV per atom. The density of states at the Fermi level is 2.49 states/eV/f.u. As for the raw total energy: -0.444 Ry per atom. The energy above the lowest structure with this stoichiometry comes out at 75.4 meV/atom.

The space group is P4mm (No. 99) and the conventional cell measures 3.302, 3.302 and 6.897 Å, with angles of 90.00, 90.00 and 90.00 degrees. The inequivalent atoms are Cd at (0.000, 0.000, 0.000), Cd at (0.500, 0.500, 0.272), Mo at (0.000, 0.000, 0.551) and W at (0.500, 0.500, 0.720).

---

2.
DFT (GGA-PBE) results for NbCr3Cd after structural relaxation.

The value obtained for the formation energy is 1.6855 eV per atom. The density of states at the Fermi level is 7.12 states/eV/f.u. As for the raw total energy: -0.462 Ry per atom. The energy above the lowest structure with this stoichiometry comes out at 0.0 meV/atom.

The space group is Pm-3m (No. 221) and the conventional cell measures 4.542, 4.542 and 4.542 Å, with angles of 90.00, 90.00 and 90.00 degrees. The inequivalent atoms are Nb at (0.000, 0.000, 0.000), Cr at (0.000, 0.000, 0.500) and Cd at (0.500, 0.500, 0.500).

---

3.
DFT (GGA-PBE) results for NaTl2Br after structural relaxation.

The density of states at the Fermi level is 2.98 states/eV/f.u. As for the raw total energy: -0.159 Ry per atom. The energy above the lowest structure with this stoichiometry comes out at 110.2 meV/atom. The raw formation energy is -0.234 eV per atom.

The space group is Fm-3m (No. 225) and the conventional cell measures 8.060, 8.060 and 8.060 Å, with angles of 90.00, 90.00 and 90.00 degrees. The inequivalent atoms are Na at (0.000, 0.000, 0.000), Tl at (0.250, 0.250, 0.250) and Br at (0.000, 0.000, 0.500).

---

4.
DFT (GGA-PBE) results for Ac2Zn5Cd12 after structural relaxation.

The value obtained for the formation energy is -0.1631 eV per atom. The density of states at the Fermi level is 3.91 states/eV/f.u. As for the raw total energy: -0.111 Ry per atom.

The space group is R-3m (No. 166, hexagonal axes) and the conventional cell measures 10.0101, 10.0101 and 14.6285 Å, with angles of 90.00, 90.00 and 120.00 degrees. The inequivalent atoms are Ac at (0.0000, 0.0000, 0.1687), Zn at (0.0000, 0.0000, 0.4027), Zn at (0.0000, 0.5000, 0.0000), Cd at (0.0000, 0.2911, 0.5000) and Cd at (0.0003, 0.5002, 0.3493).

---

5.
DFT (GGA-PBE) results for SrReNi2 after structural relaxation.

The value obtained for the formation energy is 0.3403 eV per atom. The density of states at the Fermi level is 3.92 states/eV/f.u. As for the raw total energy: -0.447 Ry per atom. The energy above the lowest structure with this stoichiometry comes out at 198.5 meV/atom.

The space group is Pmmm (No. 47) and the conventional cell measures 2.801, 3.526 and 6.936 Å, with angles of 90.00, 90.00 and 90.00 degrees. The inequivalent atoms are Sr at (0.000, 0.000, 0.000), Re at (0.000, 0.000, 0.500) and Ni at (0.500, 0.500, 0.324).

---

6.
DFT (GGA-PBE) results for Be2TlZn after structural relaxation.

The value obtained for the formation energy is 0.7096 eV per atom. The density of states at the Fermi level is 1.11 states/eV/f.u. As for the raw total energy: -0.152 Ry per atom. The energy above the lowest structure with this stoichiometry comes out at 417.5 meV/atom.

The space group is Cmmm (No. 65) and the conventional cell measures 2.858, 5.682 and 8.266 Å, with angles of 90.00, 90.00 and 90.00 degrees. The inequivalent atoms are Be at (0.000, 0.000, 0.225), Tl at (0.000, 0.500, 0.500) and Zn at (0.000, 0.500, 0.000).

---

7.
DFT (GGA-PBE) results for RbGaC after structural relaxation.

The value obtained for the formation energy is 0.6562 eV per atom. The density of states at the Fermi level is 1.76 states/eV/f.u. As for the raw total energy: -0.276 Ry per atom.

The space group is P4/nmm (No. 129, origin choice 2) and the conventional cell measures 3.761, 3.761 and 11.036 Å, with angles of 90.00, 90.00 and 90.00 degrees. The inequivalent atoms are Rb at (0.250, 0.250, 0.237), Ga at (0.250, 0.750, 0.500) and C at (0.250, 0.250, 0.596).

---

8.
DFT (GGA-PBE) results for CdTeHI2 after structural relaxation.

The density of states at the Fermi level is 3.77 states/eV/f.u. As for the raw total energy: -0.114 Ry per atom. The energy above the lowest structure with this stoichiometry comes out at 230.3 meV/atom.

The space group is P4/mmm (No. 123) and the conventional cell measures 6.000, 6.000 and 5.798 Å, with angles of 90.00, 90.00 and 90.00 degrees. The inequivalent atoms are Cd at (0.000, 0.000, 0.000), Te at (0.000, 0.000, 0.500), H at (0.500, 0.500, 0.500) and I at (0.000, 0.500, 0.000).